YSc2 | PBE | optimized geometry

The structure belongs to space group Fd-3m (No. 227, origin choice 2); the cell edges are 11.547, 11.547 and 11.547 Å and the angles 90.00°, 90.00° and 90.00°. The asymmetric unit holds Y at (0.125, 0.125, 0.125) and Sc at (0.000, 0.000, 0.000).

As for the energy relative to the elements: 8.53 eV/f.u. The density is 1.54 Mg/m³. As for the energy above the most stable polymorph in this dataset: 2795.3 meV/atom.

HfCuReTe | PBE | optimized geometry

The structure belongs to space group F-43m (No. 216); the cell edges are 6.541, 6.541 and 6.541 Å and the angles 90.00°, 90.00° and 90.00°. The asymmetric unit holds Hf at (0.000, 0.000, 0.000), Cu at (0.250, 0.250, 0.750), Re at (0.250, 0.250, 0.250) and Te at (0.000, 0.000, 0.500).

The density is 13.19 Mg/m³. As for the energy above the most stable polymorph in this dataset: 0.0 meV/atom.

SmDySn2Pt4 | PBE | optimized geometry

The structure belongs to space group P-6m2 (No. 187); the cell edges are 4.5855, 4.5855 and 9.1524 Å and the angles 90.00°, 90.00° and 120.00°. The asymmetric unit holds Sm at (0.0000, 0.0000, 0.0000), Dy at (0.6667, 0.3333, 0.5000), Sn at (0.3333, 0.6667, 0.2532), Pt at (0.0000, 0.0000, 0.3415) and Pt at (0.6667, 0.3333, 0.1643).

The density is 13.26 Mg/m³.

Cd2Sb2O5 | PBE | optimized geometry

The structure belongs to space group P4/mmm (No. 123); the cell edges are 4.223, 4.223 and 7.111 Å and the angles 90.00°, 90.00° and 90.00°. The asymmetric unit holds Cd at (0.000, 0.000, 0.000), Cd at (0.000, 0.000, 0.500), Sb at (0.500, 0.500, 0.220), O at (0.000, 0.500, 0.212) and O at (0.500, 0.500, 0.500).

The density is 7.18 Mg/m³. As for the energy above the most stable polymorph in this dataset: 0.0 meV/atom.

Dy2Ho2Co | PBE | optimized geometry

The structure belongs to space group C2/m (No. 12); the cell edges are 11.514, 4.710 and 10.658 Å and the angles 90.00°, 115.18° and 90.00°. The asymmetric unit holds Dy at (0.014, 0.000, 0.164), Dy at (0.121, 0.500, 0.696), Ho at (0.147, 0.000, 0.485), Ho at (0.177, 0.500, 0.074) and Co at (0.115, 0.500, 0.315).

As for the energy relative to the elements: -0.18 eV/f.u. The density is 9.06 Mg/m³.

HoNiPt | PBE | optimized geometry

The structure belongs to space group F-43m (No. 216); the cell edges are 6.327, 6.327 and 6.327 Å and the angles 90.00°, 90.00° and 90.00°. The asymmetric unit holds Ho at (0.000, 0.000, 0.000), Ni at (0.250, 0.250, 0.750) and Pt at (0.250, 0.250, 0.250).

As for the energy relative to the elements: -0.52 eV/f.u. The density is 10.98 Mg/m³.

NaTaBeNi | PBE | optimized geometry

The structure belongs to space group F-43m (No. 216); the cell edges are 6.100, 6.100 and 6.100 Å and the angles 90.00°, 90.00° and 90.00°. The asymmetric unit holds Na at (0.000, 0.000, 0.000), Ta at (0.000, 0.000, 0.500), Be at (0.250, 0.250, 0.750) and Ni at (0.250, 0.250, 0.250).

The density is 7.95 Mg/m³. As for the energy above the most stable polymorph in this dataset: 0.0 meV/atom.

HoTeO3 | PBE | optimized geometry

The structure belongs to space group Amm2 (No. 38); the cell edges are 3.267, 3.630 and 23.098 Å and the angles 90.00°, 90.00° and 90.00°. The asymmetric unit holds Ho at (0.000, 0.000, 0.000), Ho at (0.000, 0.000, 0.375), Te at (0.500, 0.000, 0.620), Te at (0.500, 0.000, 0.755), O at (0.000, 0.000, 0.565), O at (0.000, 0.000, 0.809), O at (0.500, 0.000, 0.076), O at (0.500, 0.000, 0.299), O at (0.500, 0.000, 0.478) and O at (0.500, 0.000, 0.897).

The density is 8.26 Mg/m³.

no.,calculated volume (Å³ per atom),raw total energy (eV per atom)
1,64.15,-3.532
2,17.49,-7.046
3,20.83,-6.184
4,14.09,-4.743
5,26.15,-5.129
6,21.11,-5.573
7,14.19,-5.058
8,13.69,-6.262